i.
This record from the Alexandria database describes a relaxed CrPAuO2 crystal. The functional is PBE+U.

The space group is P4/mmm (No. 123) and the conventional cell measures 3.978, 3.978 and 5.130 Å, with angles of 90.00, 90.00 and 90.00 degrees. The distinct sites, in fractional coordinates, are Cr at (0.000, 0.000, 0.000), P at (0.500, 0.500, 0.000), Au at (0.500, 0.500, 0.500) and O at (0.000, 0.500, 0.500).

---

ii.
This record from the Alexandria database describes a relaxed CrPAuO2 crystal. The functional is PBE+U.

The space group is P4/mmm (No. 123) and the conventional cell measures 3.633, 3.633 and 5.574 Å, with angles of 90.00, 90.00 and 90.00 degrees. The distinct sites, in fractional coordinates, are Cr at (0.000, 0.000, 0.000), P at (0.000, 0.000, 0.500), Au at (0.500, 0.500, 0.500) and O at (0.000, 0.500, 0.000).

---

So which one is most stable? That would be ii, about 930 meV per atom below the next structure.